Entry 1:
Compound: DyHfPt
Source: Alexandria
Functional: PBE
Structure: optimized geometry

abc: 4.704 12.250 7.062
angles: 90.00 90.00 90.00
Space group Amm2 (No. 38)
One atom of each set of equivalent atoms:
Dy: 0.000 0.000 0.000 x2
Dy: 0.000 0.206 0.381 x4
Hf: 0.500 0.000 0.334 x2
Hf: 0.500 0.127 0.715 x4
Pt: 0.000 0.000 0.587 x2
Pt: 0.500 0.167 0.088 x4

## Properties
Formation energy in eV per atom: -0.86

Entry 2:
Compound: AlOs
Source: Alexandria
Functional: PBE
Structure: optimized geometry

abc: 7.7017 7.7017 4.1864
angles: 90.00 90.00 120.00
Space group P6_3/mmc (No. 194)
One atom of each set of equivalent atoms:
Al: 0.1869 0.3737 0.2500 x6
Os: 0.1086 0.5543 0.7500 x6

## Properties
Formation energy in eV per atom: 0.02

Entry 3:
Compound: YHfZr2
Source: Alexandria
Functional: PBE
Structure: optimized geometry

abc: 7.309 7.309 7.309
angles: 90.00 90.00 90.00
Space group Fm-3m (No. 225)
One atom of each set of equivalent atoms:
Y: 0.000 0.000 0.000 x4
Hf: 0.000 0.000 0.500 x4
Zr: 0.250 0.250 0.250 x8

## Properties
Polymorph energy (0 for the lowest one) in eV per atom: 0.137
Formation energy in eV per atom: 0.23

Entry 4:
Compound: Ta2AlGa2
Source: Alexandria
Functional: PBE
Structure: optimized geometry

abc: 6.608 6.608 3.767
angles: 90.00 90.00 90.00
Space group P4/mbm (No. 127)
One atom of each set of equivalent atoms:
Ta: 0.169 0.331 0.000 x4
Al: 0.000 0.000 0.500 x2
Ga: 0.132 0.632 0.500 x4

## Properties
Polymorph energy (0 for the lowest one) in eV per atom: 0.161
Formation energy in eV per atom: -0.04

Entry 5:
Compound: RbSr
Source: Alexandria
Functional: PBE
Structure: optimized geometry

abc: 4.4831 4.4831 15.5415
angles: 90.00 90.00 120.00
Space group P-3m1 (No. 164)
One atom of each set of equivalent atoms:
Rb: 0.3333 0.6667 0.1393 x2
Sr: 0.3333 0.6667 0.6085 x2

## Properties
Formation energy in eV per atom: 0.08

Entry 6:
Compound: IrPd2CI
Source: Alexandria
Functional: PBE
Structure: optimized geometry

abc: 3.979 3.979 5.472
angles: 90.00 90.00 90.00
Space group P4/mmm (No. 123)
One atom of each set of equivalent atoms:
Ir: 0.000 0.000 0.000 x1
Pd: 0.000 0.500 0.500 x2
C: 0.500 0.500 0.500 x1
I: 0.500 0.500 0.000 x1

## Properties
Raw total energy in eV/cell: -24.8

Entry 7:
Compound: Ce4CdHg3
Source: Alexandria
Functional: PBE
Structure: optimized geometry

abc: 3.881 5.376 10.750
angles: 90.00 90.00 90.00
Space group Pmmm (No. 47)
One atom of each set of equivalent atoms:
Ce: 0.000 0.000 0.000 x1
Ce: 0.000 0.000 0.500 x1
Ce: 0.000 0.500 0.247 x2
Cd: 0.500 0.500 0.500 x1
Hg: 0.500 0.000 0.254 x2
Hg: 0.500 0.500 0.000 x1

## Properties
Formation energy in eV per atom: -0.24

Entry 8:
Compound: Nd3Hg2Pt3
Source: Alexandria
Functional: PBE
Structure: optimized geometry

abc: 8.7626 8.7626 6.0117
angles: 90.00 90.00 120.00
Space group P6_3/mcm (No. 193)
One atom of each set of equivalent atoms:
Nd: 0.0000 0.2967 0.2500 x6
Hg: 0.3333 0.6667 0.0000 x4
Pt: 0.0000 0.3628 0.7500 x6

## Properties
Polymorph energy (0 for the lowest one) in eV per atom: 0.000
Formation energy in eV per atom: -0.80

Entry 9:
Compound: Pa3Te5N
Source: Alexandria
Functional: PBE
Structure: optimized geometry

abc: 13.174 10.731 8.907
angles: 90.00 112.11 90.00
Space group C2/m (No. 12)
One atom of each set of equivalent atoms:
Pa: 0.000 0.000 0.000 x2
Pa: 0.000 0.000 0.500 x2
Pa: 0.140 0.500 0.161 x4
Pa: 0.249 0.000 0.404 x4
Te: 0.000 0.277 0.000 x4
Te: 0.011 0.500 0.676 x4
Te: 0.186 0.194 0.637 x8
Te: 0.232 0.000 0.051 x4
N: 0.076 0.000 0.283 x4

## Properties
Raw total energy in eV/cell: -238.5

Entry 10:
Compound: Ag5SbSe4
Source: Alexandria
Functional: PBE
Structure: optimized geometry

abc: 4.112 6.749 8.699
angles: 102.78 102.64 90.06
Space group P-1 (No. 2)
One atom of each set of equivalent atoms:
Ag: 0.000 0.000 0.000 x1
Ag: 0.296 0.841 0.603 x2
Ag: 0.309 0.405 0.608 x2
Sb: 0.000 0.500 0.000 x1
Se: 0.136 0.830 0.294 x2
Se: 0.444 0.728 0.878 x2

## Properties
Polymorph energy (0 for the lowest one) in eV per atom: 0.005

Entry 11:
Compound: PmAgPt2
Source: Alexandria
Functional: PBE
Structure: optimized geometry

abc: 4.6313 4.6313 13.5004
angles: 90.00 90.00 120.00
Space group R-3m (No. 166, hexagonal axes)
One atom of each set of equivalent atoms:
Pm: 0.0000 0.0000 0.0000 x3
Ag: 0.0000 0.0000 0.5000 x3
Pt: 0.0000 0.0000 0.2151 x6

## Properties
Polymorph energy (0 for the lowest one) in eV per atom: 0.089
Formation energy in eV per atom: -0.61

Entry 12:
Compound: Ac3Cu2Ag
Source: Alexandria
Functional: PBE
Structure: optimized geometry

abc: 3.843 3.843 11.662
angles: 90.00 90.00 90.00
Space group P4/mmm (No. 123)
One atom of each set of equivalent atoms:
Ac: 0.000 0.000 0.000 x1
Ac: 0.000 0.000 0.323 x2
Cu: 0.500 0.500 0.163 x2
Ag: 0.500 0.500 0.500 x1

## Properties
Formation energy in eV per atom: -0.14